# PaMnB4 PBE optimized geometry
data_PaMnB4
_space_group_name_H-M_alt 'F -4 3 m'
_space_group_IT_number 216
_space_group_name_Hall 'F -4 2 3'
_cell_length_a 6.3900
_cell_length_b 6.3900
_cell_length_c 6.3900
_cell_angle_alpha 90.00
_cell_angle_beta 90.00
_cell_angle_gamma 90.00
loop_
_atom_site_label
_atom_site_type_symbol
_atom_site_fract_x
_atom_site_fract_y
_atom_site_fract_z
Pa1 Pa 0.0000 0.0000 0.0000
Mn1 Mn 0.2500 0.2500 0.7500
B1 B 0.0974 0.0974 0.4026
# - excess energy over the best structure of this formula in the dataset (meV/atom) = 1251
# - DFT formation energy (eV/atom) = 0.591
# - calculated density (g/cm³) = 8.381

=====

# Pa2MnB10 PBE optimized geometry
data_Pa2MnB10
_space_group_name_H-M_alt 'P b a m'
_space_group_IT_number 55
_cell_length_a 5.5617
_cell_length_b 11.1057
_cell_length_c 4.1139
_cell_angle_alpha 90.00
_cell_angle_beta 90.00
_cell_angle_gamma 90.00
loop_
_space_group_symop_operation_xyz
'x,y,z'
'-x,-y,-z'
'-x,-y,z'
'x,y,-z'
'x+1/2,-y+1/2,-z'
'-x+1/2,y+1/2,z'
'-x+1/2,y+1/2,-z'
'x+1/2,-y+1/2,z'
loop_
_atom_site_label
_atom_site_type_symbol
_atom_site_fract_x
_atom_site_fract_y
_atom_site_fract_z
Pa1 Pa 0.2180 0.1287 0.0000
Mn1 Mn 0.0000 0.5000 0.5000
B1 B 0.0429 0.3115 0.5000
B2 B 0.1252 0.9610 0.5000
B3 B 0.1412 0.8027 0.5000
B4 B 0.2097 0.3851 0.1986
# - DFT formation energy (eV/atom) = -0.541
# - calculated density (g/cm³) = 8.170

=====

# PaMnB PBE optimized geometry
data_PaMnB
_space_group_name_H-M_alt 'C 1 2/m 1'
_space_group_IT_number 12
_cell_length_a 7.1513
_cell_length_b 3.1960
_cell_length_c 7.6873
_cell_angle_alpha 90.00
_cell_angle_beta 98.55
_cell_angle_gamma 90.00
loop_
_space_group_symop_operation_xyz
'x,y,z'
'-x,-y,-z'
'-x,y,-z'
'x,-y,z'
'x+1/2,y+1/2,z'
'-x+1/2,-y+1/2,-z'
'-x+1/2,y+1/2,-z'
'x+1/2,-y+1/2,z'
loop_
_atom_site_label
_atom_site_type_symbol
_atom_site_fract_x
_atom_site_fract_y
_atom_site_fract_z
Pa1 Pa 0.2115 0.0000 0.1671
Mn1 Mn 0.1304 0.5000 0.4188
B1 B 0.0788 0.0000 0.6000
# - excess energy over the best structure of this formula in the dataset (meV/atom) = 0
# - DFT formation energy (eV/atom) = -0.226
# - calculated density (g/cm³) = 11.346